Version A
DFT (PBE) results for a relaxed TiCl2F crystal.

Geometry as extended XYZ:
```
4
Lattice="0.000 3.086 3.086 3.086 0.000 3.086 3.086 3.086 0.000" Properties=species:S:1:pos:R:3 pbc="T T T"
Ti 0.000 0.000 0.000
Cl 1.543 1.543 1.543
Cl 4.629 4.629 4.629
F 3.086 3.086 3.086
```



Version B
DFT (PBE) results for a relaxed TiCl2F crystal.

Geometry as extended XYZ:
```
4
Lattice="1.711 0.988 7.461 -1.711 0.988 7.461 0.000 -1.975 7.461" Properties=species:S:1:pos:R:3 pbc="T T T"
Ti 0.000 0.000 0.000
Cl 0.000 0.000 8.920
Cl 0.000 0.000 13.465
F 0.000 0.000 11.192
```



Which structure is the most stable? The one labeled version A.